1.
Compound: TcAg2Cl
Source: Alexandria
Functional: PBE
Structure: relaxed

Summary:
- SG: Cmmm (65)
- Final energy: -3.880 eV/atom
- Magnetization: 0.31 μB/atom
- E_form (uncorrected): 0.60 eV/atom
- Energy above the lowest structure with this stoichiometry: 140 kJ/mol of formula units

Cell: 5.9704 5.4632 2.8025 Å, 89.98 62.05 115.23°
Last column: magnetic moment on the atom in μB.
Fractional coordinates of all 4 atoms:
1 Ag 0.0000 0.0000 0.0000  0.01
2 Ag 0.5000 0.0000 0.5000  0.01
3 Cl 0.0000 0.5000 0.5000  0.02
4 Tc 0.5000 0.5000 0.0000  1.10

2.
Compound: PtRh6W2
Source: Alexandria
Functional: PBE
Structure: relaxed

Summary:
- SG: Immm (71)
- Final energy: -8.448 eV/atom
- Magnetization: 0.00 μB/atom

Cell: 2.7459 13.4671 7.8065 Å, 149.60 100.13 90.00°
Fractional coordinates of all 9 atoms:
1 Pt 0.0000 0.5000 0.0000
2 Rh 0.3204 0.4950 0.6409
3 Rh 0.6796 0.5050 0.3591
4 Rh 0.6796 0.8541 0.3591
5 Rh 0.5000 0.1423 0.0000
6 Rh 0.5000 0.8577 0.0000
7 Rh 0.3204 0.1459 0.6409
8 W 0.1808 0.1808 0.3615
9 W 0.8192 0.8192 0.6385